(1)
Material: Tb2PmNd2Ho
Method: DFT, PBE
State: optimized geometry

The space group is Pmma (No. 51) and the conventional cell measures 7.0297, 5.7086 and 9.9028 Å, with angles of 90.00, 90.00 and 90.00 degrees. The distinct sites, in fractional coordinates, are Tb at (0.2500, 0.0000, 0.1647), Tb at (0.2500, 0.5000, 0.6678), Pm at (0.0000, 0.0000, 0.5000), Nd at (0.0000, 0.5000, 0.0000), Nd at (0.2500, 0.0000, 0.8296) and Ho at (0.2500, 0.5000, 0.3360).

(2)
Material: TbPm2NdHo2
Method: DFT, PBE
State: optimized geometry

The space group is Pnnm (No. 58) and the conventional cell measures 6.6128, 18.0365 and 3.4112 Å, with angles of 90.00, 90.00 and 90.00 degrees. The distinct sites, in fractional coordinates, are Tb at (0.0000, 0.0000, 0.0000), Pm at (0.2272, 0.1862, 0.0000), Nd at (0.0000, 0.5000, 0.0000) and Ho at (0.2265, 0.3528, 0.5000).

(3)
Material: TbPmNd4Ho2
Method: DFT, PBE
State: optimized geometry

The space group is P2/m (No. 10) and the conventional cell measures 6.2739, 3.6352 and 11.9561 Å, with angles of 90.00, 100.21 and 90.00 degrees. The distinct sites, in fractional coordinates, are Tb at (0.0000, 0.0000, 0.0000), Pm at (0.0000, 0.5000, 0.5000), Nd at (0.2508, 0.0000, 0.7523), Nd at (0.2508, 0.5000, 0.2497), Ho at (0.5000, 0.0000, 0.5000) and Ho at (0.5000, 0.5000, 0.0000).

(4)
Material: Tb2Pm2NdHo2
Method: DFT, PBE
State: optimized geometry

The space group is C2/m (No. 12) and the conventional cell measures 11.3363, 5.0800 and 8.0499 Å, with angles of 90.00, 98.19 and 90.00 degrees. The distinct sites, in fractional coordinates, are Tb at (0.2149, 0.0000, 0.1420), Pm at (0.1426, 0.5000, 0.4289), Nd at (0.0000, 0.5000, 0.0000) and Ho at (0.0717, 0.0000, 0.7145).

(5)
Material: Tb2PmNdHo2
Method: DFT, PBE
State: optimized geometry

The space group is Pnnm (No. 58) and the conventional cell measures 6.5933, 17.8826 and 3.4080 Å, with angles of 90.00, 90.00 and 90.00 degrees. The distinct sites, in fractional coordinates, are Tb at (0.2274, 0.1853, 0.0000), Pm at (0.0000, 0.0000, 0.0000), Nd at (0.0000, 0.5000, 0.0000) and Ho at (0.2262, 0.3504, 0.5000).

(6)
Material: TbPm2Nd2Ho4
Method: DFT, PBE
State: optimized geometry

The space group is C2/m (No. 12) and the conventional cell measures 18.7971, 3.6240 and 9.6350 Å, with angles of 90.00, 115.76 and 90.00 degrees. The distinct sites, in fractional coordinates, are Tb at (0.0000, 0.0000, 0.0000), Pm at (0.1470, 0.0000, 0.6626), Nd at (0.1654, 0.5000, 0.0016), Ho at (0.0194, 0.5000, 0.3322) and Ho at (0.1849, 0.0000, 0.3359).

| no. | ΔH_f (0 K) (eV/atom) |
| --- | --- |
| 1 | 0.063 |
| 2 | 0.266 |
| 3 | 0.015 |
| 4 | 0.016 |
| 5 | 0.275 |
| 6 | 0.003 |